[1]
# Er8Mg2Ir

Crystalline Er8Mg2Ir at its relaxed geometry (PBE, the Alexandria database).

## Properties
energy of formation	-0.167	eV per atom
calculated total energy	-0.3367	Ry/atom
symmetry	No. 12

Lattice parameters (Å, degrees): 9.1168 9.1168 6.9837 110.44 110.44 34.31
With the nearest neighbours (Å) after each atom.
Fractional positions:
Er 0.0153 0.0153 0.2809  2 Ir 3.15, 1 Mg 3.17, 5 Er 3.29-3.44
Er 0.1945 0.1945 0.7642  3 Mg 3.10-3.39, 2 Er 3.44
Er 0.3533 0.3533 0.5659  1 Ir 2.76
Er 0.4008 0.4008 0.0892  1 Ir 2.76
Er 0.5992 0.5992 0.9108  1 Ir 2.76
Er 0.6467 0.6467 0.4341  1 Ir 2.76
Er 0.8055 0.8055 0.2358  3 Mg 3.10-3.39, 2 Er 3.44
Er 0.9847 0.9847 0.7191  2 Ir 3.15, 1 Mg 3.17, 5 Er 3.29-3.44
Mg 0.1818 0.1818 0.1957  9 Er 3.10-3.39
Mg 0.8182 0.8182 0.8043  9 Er 3.10-3.39
Ir 0.5000 0.5000 0.5000  4 Er 2.76

[2]
# ErMgIr

Crystalline ErMgIr at its relaxed geometry (PBE, the Alexandria database).

## Properties
energy of formation	-0.503	eV per atom
calculated total energy	-0.4049	Ry/atom
symmetry	No. 107

Lattice parameters (Å, degrees): 6.1612 6.1612 6.1612 148.82 148.82 44.68
With the nearest neighbours (Å) after each atom.
Fractional positions:
Er 0.0000 0.0000 0.0000  4 Ir 2.84, 1 Mg 3.13
Mg 0.7254 0.7254 0.0000  4 Ir 2.79
Ir 0.3583 0.3583 0.0000  4 Mg 2.79, 4 Er 2.84

[3]
# Er6MgIr5

Crystalline Er6MgIr5 at its relaxed geometry (PBE, the Alexandria database).

## Properties
energy of formation	-0.766	eV per atom
calculated total energy	-0.5051	Ry/atom
symmetry	No. 65

Lattice parameters (Å, degrees): 7.5818 7.5818 7.1027 90.00 90.00 143.36
With the nearest neighbours (Å) after each atom.
Fractional positions:
Er 0.0000 0.0000 0.2354  6 Ir 2.91-2.95, 2 Mg 3.04
Er 0.0000 0.0000 0.7646  6 Ir 2.91-2.95, 2 Mg 3.04
Er 0.3281 0.6719 0.2461  7 Ir 2.88-3.05, 1 Mg 3.06
Er 0.3281 0.6719 0.7539  7 Ir 2.88-3.05, 1 Mg 3.06
Er 0.6719 0.3281 0.2461  7 Ir 2.88-3.05, 1 Mg 3.06
Er 0.6719 0.3281 0.7539  7 Ir 2.88-3.05, 1 Mg 3.06
Mg 0.5000 0.5000 0.5000  8 Er 3.04-3.06, 4 Ir 3.29
Ir 0.1575 0.8425 0.5000  8 Er 2.94-3.05, 2 Mg 3.29
Ir 0.1690 0.8310 0.0000  8 Er 2.88-2.96
Ir 0.5000 0.5000 0.0000  8 Er 2.91-3.03
Ir 0.8310 0.1690 0.0000  8 Er 2.88-2.96
Ir 0.8425 0.1575 0.5000  8 Er 2.94-3.05, 2 Mg 3.29

[4]
# Er3MgIr

Crystalline Er3MgIr at its relaxed geometry (PBE, the Alexandria database).

## Properties
energy of formation	-0.340	eV per atom
calculated total energy	-0.3799	Ry/atom
symmetry	No. 38

Lattice parameters (Å, degrees): 3.9022 8.9394 8.9394 109.80 90.00 90.00
With the nearest neighbours (Å) after each atom.
Fractional positions:
Er 0.0000 0.1253 0.8747  2 Ir 2.71
Er 0.0000 0.2839 0.5343  2 Ir 2.71
Er 0.0000 0.5343 0.2839  2 Ir 2.71
Er 0.0000 0.8747 0.1253  2 Ir 2.71
Er 0.5000 0.5122 0.8973  2 Ir 2.70
Er 0.5000 0.8973 0.5122  2 Ir 2.70
Mg 0.0000 0.7033 0.7033  8 Er 3.43-3.56
Mg 0.5000 0.2036 0.2036  8 Er 3.40-3.41
Ir 0.5000 0.2047 0.7048  6 Er 2.70-2.71
Ir 0.5000 0.7048 0.2047  6 Er 2.70-2.71

[5]
# Er3MgIr4

Crystalline Er3MgIr4 at its relaxed geometry (PBE, the Alexandria database).

## Properties
energy of formation	-0.745	eV per atom
calculated total energy	-0.5208	Ry/atom
symmetry	No. 139

Lattice parameters (Å, degrees): 7.4560 7.4560 7.4560 143.12 143.12 53.14
With the nearest neighbours (Å) after each atom.
Fractional positions:
Er 0.0000 0.0000 0.0000  8 Ir 2.87
Er 0.2536 0.2536 0.0000  8 Ir 2.88-2.94
Er 0.7464 0.7464 0.0000  8 Ir 2.88-2.94
Mg 0.5000 0.5000 0.0000  8 Ir 2.87
Ir 0.1223 0.6223 0.5000  2 Mg 2.87, 6 Er 2.87-2.94
Ir 0.3777 0.8777 0.5000  6 Er 2.87-2.94, 2 Mg 2.87
Ir 0.6223 0.1223 0.5000  2 Mg 2.87, 6 Er 2.87-2.94
Ir 0.8777 0.3777 0.5000  6 Er 2.87-2.94, 2 Mg 2.87

[6]
# Er6MgIr

Crystalline Er6MgIr at its relaxed geometry (PBE, the Alexandria database).

## Properties
energy of formation	-0.012	eV per atom
calculated total energy	-0.3484	Ry/atom
symmetry	No. 2

Lattice parameters (Å, degrees): 6.8788 6.8854 7.3341 90.10 117.86 119.87
With the nearest neighbours (Å) after each atom.
Fractional positions:
Er 0.0466 0.0771 0.2532  1 Ir 2.67
Er 0.2832 0.7067 0.2527  1 Ir 2.67
Er 0.3219 0.5295 0.7469  1 Ir 2.67
Er 0.6781 0.4705 0.2531  1 Ir 2.67
Er 0.7168 0.2933 0.7473  1 Ir 2.67
Er 0.9534 0.9229 0.7468  1 Ir 2.67
Mg 0.5000 0.0000 0.0000  6 Er 3.05-3.06
Ir 0.5000 0.5000 0.5000  6 Er 2.67

[7]
# Er3MgIr8

Crystalline Er3MgIr8 at its relaxed geometry (PBE, the Alexandria database).

## Properties
energy of formation	-0.690	eV per atom
calculated total energy	-0.5785	Ry/atom
symmetry	No. 160

Lattice parameters (Å, degrees): 9.2063 9.2063 9.2063 33.53 33.53 33.53
With the nearest neighbours (Å) after each atom.
Fractional positions:
Er 0.0000 0.0000 0.0000  12 Ir 3.05-3.15, 3 Mg 3.22, 1 Er 3.31
Er 0.1272 0.1272 0.1272  12 Ir 3.11-3.13, 4 Er 3.29-3.31
Er 0.5063 0.5063 0.5063  12 Ir 3.07-3.20, 1 Mg 3.21, 3 Er 3.29
Mg 0.6293 0.6293 0.6293  12 Ir 3.07-3.13, 4 Er 3.21-3.22
Ir 0.0647 0.5651 0.5651  6 Ir 2.65-2.66
Ir 0.0659 0.0659 0.5650  6 Ir 2.64-2.67
Ir 0.0659 0.5650 0.0659  6 Ir 2.64-2.67
Ir 0.3151 0.3151 0.3151  6 Ir 2.64-2.65
Ir 0.5651 0.0647 0.5651  6 Ir 2.65-2.66
Ir 0.5650 0.0659 0.0659  6 Ir 2.64-2.67
Ir 0.5651 0.5651 0.0647  6 Ir 2.65-2.66
Ir 0.8153 0.8153 0.8153  6 Ir 2.66-2.67

[8]
# ErMgIr

Crystalline ErMgIr at its relaxed geometry (PBE, the Alexandria database).

## Properties
energy of formation	-0.552	eV per atom
calculated total energy	-0.4085	Ry/atom
symmetry	No. 216

Lattice parameters (Å, degrees): 4.6007 4.6007 4.6007 60.00 60.00 60.00
With the nearest neighbours (Å) after each atom.
Fractional positions:
Er 0.0000 0.0000 0.0000  4 Ir 2.82
Mg 0.5000 0.5000 0.5000  4 Ir 2.82
Ir 0.7500 0.7500 0.7500  4 Mg 2.82, 4 Er 2.82